Below is crystalline NdDyNpO6 at its relaxed geometry, with properties calculated at the GGA-PBE level.

Output
DFT total energy (eV per atom): -8.971
M_tot (μB per cell): 2.00
Uncorrected formation energy (eV/atom): -3.19

Structure (CIF):
```
data_NdDyNpO6
_cell_length_a 5.7871
_cell_length_b 5.7871
_cell_length_c 9.7516
_cell_angle_alpha 90.00
_cell_angle_beta 90.00
_cell_angle_gamma 120.00
_space_group_name_H-M_alt 'P -3 1 c'
_space_group_IT_number 163
_space_group_name_Hall '-P 3 2c'
loop_
_atom_site_label
_atom_site_type_symbol
_atom_site_fract_x
_atom_site_fract_y
_atom_site_fract_z
Nd1 Nd 0.0000 0.0000 0.0000
Dy1 Dy 0.3333 0.6667 0.2500
Np1 Np 0.3333 0.6667 0.7500
O1 O 0.0255 0.3643 0.6369
```

=====

Below is crystalline Tb14DyTh at its relaxed geometry, with properties calculated at the GGA-PBE level.

Output
DOS at the Fermi energy (states/eV per atom): 1.24
Energy relative to the elements (eV per atom): 0.02
DFT total energy (eV per atom): -4.786
M_tot (μB per cell): 0.00

Structure (CIF):
```
data_Tb14DyTh
_cell_length_a 7.123
_cell_length_b 7.123
_cell_length_c 10.070
_cell_angle_alpha 90.00
_cell_angle_beta 90.00
_cell_angle_gamma 90.00
_space_group_name_H-M_alt 'P 4/m m m'
_space_group_IT_number 123
_space_group_name_Hall '-P 4 2'
loop_
_atom_site_label
_atom_site_type_symbol
_atom_site_fract_x
_atom_site_fract_y
_atom_site_fract_z
Tb1 Tb 0.000 0.000 0.000
Tb2 Tb 0.000 0.500 0.000
Tb3 Tb 0.000 0.500 0.500
Tb4 Tb 0.248 0.248 0.251
Tb5 Tb 0.500 0.500 0.000
Dy1 Dy 0.500 0.500 0.500
Th1 Th 0.000 0.000 0.500
```

=====

Look up the DFT total energy of the second one.
-4.786 eV per atom

=====

Please write out number 1 again, unchanged.
Below is crystalline NdDyNpO6 at its relaxed geometry, with properties calculated at the GGA-PBE level.

Output
DFT total energy (eV per atom): -8.971
M_tot (μB per cell): 2.00
Uncorrected formation energy (eV/atom): -3.19

Structure (CIF):
```
data_NdDyNpO6
_cell_length_a 5.7871
_cell_length_b 5.7871
_cell_length_c 9.7516
_cell_angle_alpha 90.00
_cell_angle_beta 90.00
_cell_angle_gamma 120.00
_space_group_name_H-M_alt 'P -3 1 c'
_space_group_IT_number 163
_space_group_name_Hall '-P 3 2c'
loop_
_atom_site_label
_atom_site_type_symbol
_atom_site_fract_x
_atom_site_fract_y
_atom_site_fract_z
Nd1 Nd 0.0000 0.0000 0.0000
Dy1 Dy 0.3333 0.6667 0.2500
Np1 Np 0.3333 0.6667 0.7500
O1 O 0.0255 0.3643 0.6369
```

=====

Among the records above, which one has the lowest M_tot?
Tb14DyTh